Below is an optimized crystal structure of HfIBr2, with properties calculated at the PBEsol level.

Computed properties:
total magnetization	0.0	μB per cell
uncorrected formation energy	-54	meV/atom

Geometry as POSCAR:
```
HfIBr2
1.0
-0.800 1.824 -4.655
2.017 -2.334 -4.015
-2.981 -2.517 -3.227
I Hf Br
1 1 2
Direct
0.000 0.000 0.000 I
0.500 0.500 0.500 Hf
0.250 0.250 0.250 Br
0.750 0.750 0.750 Br
```